Here is a geometry-optimized ThGeTe structure from Alexandria via LeMat-Bulk. Energies are from PBE-GGA.

POSCAR file:
```
ThGeTe
1.0
0.000 7.557 8.930
3.098 0.000 8.930
3.098 7.557 0.000
Th Ge Te
4 4 4
direct
0.011 0.330 0.670
0.330 0.011 0.989
0.670 0.989 0.011
0.989 0.670 0.330
0.072 0.072 0.928
0.147 0.853 0.147
0.853 0.147 0.853
0.928 0.928 0.072
0.217 0.480 0.520
0.480 0.217 0.783
0.520 0.783 0.217
0.783 0.520 0.480
```

Properties
DOS at the Fermi energy   10.32 states/eV/cell
Calculated density   6.87 g cm⁻³
Raw formation energy   -497 meV per atom
Space group   Fmmm, No. 69

***

Here is a geometry-optimized ThGe2Te6 structure from Alexandria via LeMat-Bulk. Energies are from PBE-GGA.

POSCAR file:
```
ThGe2Te6
1.0
7.324 -5.947 0.000
7.324 5.947 0.000
-2.694 0.000 7.043
Th Ge Te
2 4 12
direct
0.173 0.827 0.750
0.827 0.173 0.250
0.231 0.374 0.761
0.374 0.231 0.261
0.626 0.769 0.739
0.769 0.626 0.239
0.048 0.163 0.656
0.133 0.616 0.985
0.163 0.048 0.156
0.257 0.483 0.489
0.384 0.867 0.515
0.483 0.257 0.989
0.517 0.743 0.011
0.616 0.133 0.485
0.743 0.517 0.511
0.837 0.952 0.844
0.867 0.384 0.015
0.952 0.837 0.344
```

Properties
DOS at the Fermi energy   3.88 states/eV/cell
Calculated density   6.19 g cm⁻³
Raw formation energy   -307 meV per atom
Space group   C2/c, No. 15

***

> Which of these has the lowest DOS at the Fermi energy?

ThGe2Te6

***

> Which formula does entry 2 have?

ThGe2Te6